one | RbTlAsBr2 | GGA-PBE | relaxed

Lattice parameters (Å, degrees): 6.457 6.457 6.401 90.00 90.00 90.00
Fractional positions:
Rb1 0.000 0.000 0.000
Tl1 0.500 0.500 0.500
As1 0.000 0.000 0.500
Br1 0.000 0.500 0.000
Br2 0.500 0.000 0.000

Summary:
M_tot	3.07	μB per formula unit

two | RbTlAsBr2 | GGA-PBE | relaxed

Lattice parameters (Å, degrees): 6.138 6.138 5.484 90.00 90.00 90.00
Fractional positions:
Rb1 0.000 0.000 0.000
Tl1 0.500 0.500 0.500
As1 0.500 0.500 0.000
Br1 0.000 0.500 0.500
Br2 0.500 0.000 0.500

Summary:
M_tot	1.89	μB per formula unit
density of states at the Fermi level	0.220	states/eV per atom

Stability verdict: two, ahead by 389 meV/atom

one | RbAs2WBr | GGA-PBE | relaxed

Lattice parameters (Å, degrees): 4.881 4.881 5.844 90.00 90.00 90.00
Fractional positions:
Rb1 0.000 0.000 0.000
As1 0.000 0.500 0.500
As2 0.500 0.000 0.500
W1 0.500 0.500 0.500
Br1 0.500 0.500 0.000

Summary:
M_tot	0.35	μB per formula unit
density of states at the Fermi level	0.820	states/eV per atom

two | RbAs2WBr | GGA-PBE | relaxed

Lattice parameters (Å, degrees): 5.697 5.697 5.772 90.00 90.00 90.00
Fractional positions:
Rb1 0.000 0.000 0.000
As1 0.000 0.500 0.000
As2 0.500 0.000 0.000
W1 0.500 0.500 0.500
Br1 0.000 0.000 0.500

Summary:
M_tot	2.49	μB per formula unit
density of states at the Fermi level	1.092	states/eV per atom

Stability verdict: one, ahead by 2326 meV/atom

one | RbYAs2Br | GGA-PBE | relaxed

Lattice parameters (Å, degrees): 5.440 5.440 5.681 90.00 90.00 90.00
Fractional positions:
Rb1 0.000 0.000 0.000
Y1 0.500 0.500 0.500
As1 0.000 0.500 0.000
As2 0.500 0.000 0.000
Br1 0.000 0.000 0.500

Summary:
M_tot	0.00	μB per formula unit
density of states at the Fermi level	0.944	states/eV per atom

two | RbYAs2Br | GGA-PBE | relaxed

Lattice parameters (Å, degrees): 5.531 5.531 5.854 90.00 90.00 90.00
Fractional positions:
Rb1 0.000 0.000 0.000
Y1 0.500 0.500 0.500
As1 0.000 0.500 0.500
As2 0.500 0.000 0.500
Br1 0.500 0.500 0.000

Summary:
M_tot	0.98	μB per formula unit
density of states at the Fermi level	0.708	states/eV per atom

Stability verdict: two, ahead by 1252 meV/atom

one | RbZrAs2Br | GGA-PBE | relaxed

Lattice parameters (Å, degrees): 5.441 5.441 5.624 90.00 90.00 90.00
Fractional positions:
Rb1 0.000 0.000 0.000
Zr1 0.500 0.500 0.500
As1 0.000 0.500 0.000
As2 0.500 0.000 0.000
Br1 0.000 0.000 0.500

Summary:
M_tot	0.49	μB per formula unit
density of states at the Fermi level	0.894	states/eV per atom

two | RbZrAs2Br | GGA-PBE | relaxed

Lattice parameters (Å, degrees): 5.202 5.202 5.841 90.00 90.00 90.00
Fractional positions:
Rb1 0.000 0.000 0.000
Zr1 0.500 0.500 0.500
As1 0.000 0.500 0.500
As2 0.500 0.000 0.500
Br1 0.500 0.500 0.000

Summary:
M_tot	0.00	μB per formula unit
density of states at the Fermi level	0.355	states/eV per atom

Stability verdict: two, ahead by 1908 meV/atom

one | ReAsBr2 | GGA-PBE | relaxed

Lattice parameters (Å, degrees): 4.728 4.728 3.345 90.00 90.00 90.00
Fractional positions:
Re1 0.000 0.000 0.000
As1 0.500 0.500 0.000
Br1 0.000 0.500 0.500
Br2 0.500 0.000 0.500

Summary:
M_tot	0.00	μB per formula unit
density of states at the Fermi level	0.741	states/eV per atom

two | ReAsBr2 | GGA-PBE | relaxed

Lattice parameters (Å, degrees): 5.549 5.549 3.535 107.86 107.86 112.18
Fractional positions:
Re1 0.000 0.000 0.000
As1 0.500 0.500 0.000
Br1 0.000 0.500 0.500
Br2 0.500 0.000 0.500

Summary:
M_tot	2.47	μB per formula unit
density of states at the Fermi level	0.816	states/eV per atom

three | ReAsBr2 | GGA-PBE | relaxed

Lattice parameters (Å, degrees): 7.700 7.700 3.305 90.00 90.00 143.92
Fractional positions:
Re1 0.000 0.000 0.000
As1 0.500 0.500 0.000
Br1 0.138 0.862 0.500
Br2 0.862 0.138 0.500

Summary:
M_tot	0.00	μB per formula unit
density of states at the Fermi level	0.172	states/eV per atom

four | ReAsBr2 | GGA-PBE | relaxed

Lattice parameters (Å, degrees): 6.431 3.210 6.644 90.00 116.83 90.00
Fractional positions:
Re1 0.000 0.000 0.000
As1 0.269 0.500 0.974
Br1 0.022 0.500 0.306
Br2 0.683 0.000 0.628

Summary:
M_tot	0.00	μB per formula unit

Stability verdict: four, ahead by 14 meV/atom

one | ReAsBr2 | GGA-PBE | relaxed

Lattice parameters (Å, degrees): 3.073 3.073 9.147 90.00 90.00 90.00
Fractional positions:
Re1 0.000 0.000 0.000
As1 0.000 0.000 0.500
Br1 0.500 0.500 0.177
Br2 0.500 0.500 0.823

Summary:
M_tot	0.00	μB per formula unit
density of states at the Fermi level	1.246	states/eV per atom

two | ReAsBr2 | GGA-PBE | relaxed

Lattice parameters (Å, degrees): 5.018 5.018 3.072 90.00 90.00 100.35
Fractional positions:
Re1 0.000 0.000 0.000
As1 0.500 0.500 0.000
Br1 0.000 0.500 0.500
Br2 0.500 0.000 0.500

Summary:
M_tot	0.00	μB per formula unit
density of states at the Fermi level	0.837	states/eV per atom

Stability verdict: one, ahead by 358 meV/atom